[1]
Computed, not measured: a relaxed Ta2BiH crystal at the PBE level of DFT.

Unit cell a=5.881 b=5.881 c=5.881 alpha=120.06 beta=120.06 gamma=89.89
Atoms (fractional coordinates):
Ta (0.000, 0.000, 0.000)
Ta (0.000, 0.000, 0.500)
Ta (0.000, 0.500, 0.000)
Ta (0.500, 0.000, 0.500)
Bi (0.375, 0.625, 0.750)
Bi (0.625, 0.375, 0.250)
H (0.125, 0.875, 0.250)
H (0.875, 0.125, 0.750)

Summary:
As for the volume: 17.96 A^3/atom. The calculation puts the density at 13221 kg/m³. The total DFT energy (no corrections) comes out at -0.535 Ry per atom. The value obtained for the total magnetic moment is 0.00 Bohr magnetons per cell. The symmetry is I4_1/amd, No. 141.



[2]
Computed, not measured: a relaxed ScTc2Pb crystal at the PBE level of DFT.

Unit cell a=3.110 b=4.121 c=5.787 alpha=90.00 beta=95.28 gamma=90.00
Atoms (fractional coordinates):
Sc (0.000, 0.000, 0.000)
Tc (0.509, 0.500, 0.237)
Tc (0.913, 0.000, 0.429)
Pb (0.442, 0.500, 0.715)

Summary:
As for the volume: 18.46 A^3/atom. The calculation puts the density at 10077 kg/m³. The value obtained for the total magnetic moment is 0.00 Bohr magnetons per cell. The symmetry is Pm, No. 6. The formation energy from the elements comes out at 0.6 eV/f.u.



Copy entry 2 word for word.
Computed, not measured: a relaxed ScTc2Pb crystal at the PBE level of DFT.

Unit cell a=3.110 b=4.121 c=5.787 alpha=90.00 beta=95.28 gamma=90.00
Atoms (fractional coordinates):
Sc (0.000, 0.000, 0.000)
Tc (0.509, 0.500, 0.237)
Tc (0.913, 0.000, 0.429)
Pb (0.442, 0.500, 0.715)

Summary:
As for the volume: 18.46 A^3/atom. The calculation puts the density at 10077 kg/m³. The value obtained for the total magnetic moment is 0.00 Bohr magnetons per cell. The symmetry is Pm, No. 6. The formation energy from the elements comes out at 0.6 eV/f.u.



Which of these has the highest density? Ta2BiH